Below is a geometry-optimized Ca3SbH2Pd6 structure, with properties calculated at the PBE level.

Summary:
* final energy: -4.513 eV per atom

Structure (CIF):
```
data_Ca3SbH2Pd6
_chemical_formula_sum 'Ca3 Sb1 H2 Pd6'
_symmetry_space_group_name_H-M 'P -3 m 1'
_symmetry_Int_Tables_number 164
_symmetry_space_group_name_Hall '-P 3 2"'
_cell_length_a 5.7161
_cell_length_b 5.7161
_cell_length_c 8.8735
_cell_angle_alpha 90.00
_cell_angle_beta 90.00
_cell_angle_gamma 120.00
loop_
_atom_site_label
_atom_site_fract_x
_atom_site_fract_y
_atom_site_fract_z
Ca1 0.0000 0.0000 0.0000
Ca2 0.3333 0.6667 0.6114
Sb1 0.0000 0.0000 0.5000
H1 0.3333 0.6667 0.1677
Pd1 0.1722 0.3445 0.2716
```


Below is a geometry-optimized CaSbHPd2 structure, with properties calculated at the PBE level.

Summary:
* relative energy among the computed polymorphs: 0.00 eV per formula unit

Structure (CIF):
```
data_CaSbHPd2
_chemical_formula_sum 'Ca4 Sb4 H4 Pd8'
_symmetry_space_group_name_H-M 'C m c m'
_symmetry_Int_Tables_number 63
_symmetry_space_group_name_Hall '-C 2c 2'
_cell_length_a 4.0746
_cell_length_b 11.5364
_cell_length_c 7.5607
_cell_angle_alpha 90.00
_cell_angle_beta 90.00
_cell_angle_gamma 90.00
loop_
_atom_site_label
_atom_site_fract_x
_atom_site_fract_y
_atom_site_fract_z
Ca1 0.0000 0.0446 0.2500
Sb1 0.0000 0.2330 0.7500
H1 0.0000 0.5000 0.0000
Pd1 0.0000 0.3502 0.0534
```


Below is a geometry-optimized CaSbHPd2 structure, with properties calculated at the PBE level.

Summary:
* relative energy among the computed polymorphs: 1.19 eV per formula unit

Structure (CIF):
```
data_CaSbHPd2
_chemical_formula_sum 'Ca1 Sb1 H1 Pd2'
_symmetry_space_group_name_H-M 'P 4/m m m'
_symmetry_Int_Tables_number 123
_symmetry_space_group_name_Hall '-P 4 2'
_cell_length_a 4.3145
_cell_length_b 4.3145
_cell_length_c 4.3837
_cell_angle_alpha 90.00
_cell_angle_beta 90.00
_cell_angle_gamma 90.00
loop_
_atom_site_label
_atom_site_fract_x
_atom_site_fract_y
_atom_site_fract_z
Ca1 0.0000 0.0000 0.0000
Sb1 0.5000 0.5000 0.0000
H1 0.0000 0.0000 0.5000
Pd1 0.0000 0.5000 0.5000
```


no.,ρ (g cm⁻³)
1,5.8
2,7.0
3,7.6